The following is a meta-GGA SCAN calculation of a crystal of BaMgP2O relaxed with PBEsol, from Alexandria.

Values from the calculation:
As for the formation energy (no corrections): -508 meV per atom. The value obtained for the total magnetization is 2.42 μB/f.u.

Structure (CIF):
```
data_BaMgP2O
_chemical_formula_sum 'Ba1 Mg1 P2 O1'
_cell_length_a 5.255
_cell_length_b 5.255
_cell_length_c 3.816
_cell_angle_alpha 90.00
_cell_angle_beta 90.00
_cell_angle_gamma 90.00
_symmetry_space_group_name_H-M 'P 4/m m m'
_symmetry_Int_Tables_number 123
_symmetry_space_group_name_Hall '-P 4 2'
loop_
_atom_site_label
_atom_site_fract_x
_atom_site_fract_y
_atom_site_fract_z
Ba1 0.000 0.000 0.000
Mg1 0.500 0.500 0.500
P1 0.000 0.500 0.500
O1 0.500 0.500 0.000
```


The following is a meta-GGA SCAN calculation of a crystal of ZnNi2Ir relaxed with PBEsol, from Alexandria.

Values from the calculation:
The value obtained for the total magnetization is 1.18 μB/f.u. As for the energy relative to the elements: -0.059 eV per atom.

Structure (CIF):
```
data_ZnNi2Ir
_chemical_formula_sum 'Zn3 Ni6 Ir3'
_cell_length_a 2.6205
_cell_length_b 2.6205
_cell_length_c 24.3792
_cell_angle_alpha 90.00
_cell_angle_beta 90.00
_cell_angle_gamma 120.00
_symmetry_space_group_name_H-M 'R -3 m'
_symmetry_Int_Tables_number 166
_symmetry_space_group_name_Hall '-R 3 2"'
loop_
_atom_site_label
_atom_site_fract_x
_atom_site_fract_y
_atom_site_fract_z
Zn1 0.0000 0.0000 0.0000
Ni1 0.0000 0.0000 0.2513
Ir1 0.0000 0.0000 0.5000
```


The following is a meta-GGA SCAN calculation of a crystal of Ca2RuC relaxed with PBEsol, from Alexandria.

Values from the calculation:
The value obtained for the total magnetization is 0.00 μB/f.u. As for the energy relative to the elements: 0.002 eV per atom.

Structure (CIF):
```
data_Ca2RuC
_chemical_formula_sum 'Ca8 Ru4 C4'
_cell_length_a 9.778
_cell_length_b 9.778
_cell_length_c 3.857
_cell_angle_alpha 90.00
_cell_angle_beta 90.00
_cell_angle_gamma 90.00
_symmetry_space_group_name_H-M 'I -4 2 d'
_symmetry_Int_Tables_number 122
_symmetry_space_group_name_Hall 'I -4 2bw'
loop_
_atom_site_label
_atom_site_fract_x
_atom_site_fract_y
_atom_site_fract_z
Ca1 0.061 0.750 0.125
Ru1 0.000 0.000 0.500
C1 0.000 0.000 0.000
```


The following is a meta-GGA SCAN calculation of a crystal of BeTl2W relaxed with PBEsol, from Alexandria.

Values from the calculation:
The value obtained for the total magnetization is 0.63 μB/f.u. As for the distance to the lowest polymorph of the same formula: 0.0 meV/atom. As for the energy relative to the elements: 0.763 eV per atom.

Structure (CIF):
```
data_BeTl2W
_chemical_formula_sum 'Be1 Tl2 W1'
_cell_length_a 3.229
_cell_length_b 3.229
_cell_length_c 7.334
_cell_angle_alpha 90.00
_cell_angle_beta 90.00
_cell_angle_gamma 90.00
_symmetry_space_group_name_H-M 'P 4 m m'
_symmetry_Int_Tables_number 99
_symmetry_space_group_name_Hall 'P 4 -2'
loop_
_atom_site_label
_atom_site_fract_x
_atom_site_fract_y
_atom_site_fract_z
Be1 0.000 0.000 0.000
Tl1 0.000 0.000 0.635
Tl2 0.500 0.500 0.300
W1 0.500 0.500 0.911
```